Version one
! GGA-PBE KHoSO, optimized geometry; values from VASP
&SYSTEM
  ibrav = 0, nat = 16, ntyp = 4
/
ATOMIC_SPECIES
S 32.06 S.upf
O 16.00 O.upf
Ho 164.93 Ho.upf
K 39.10 K.upf
ATOMIC_POSITIONS crystal
S 0.749 0.591 0.655
S 0.749 0.909 0.155
O 0.392 0.647 0.877
O 0.608 0.147 0.623
Ho 0.526 0.873 0.730
Ho 0.474 0.373 0.770
O 0.392 0.853 0.377
Ho 0.474 0.127 0.270
S 0.251 0.091 0.845
K 0.083 0.746 0.011
S 0.251 0.409 0.345
O 0.608 0.353 0.123
K 0.083 0.754 0.511
K 0.917 0.246 0.489
K 0.917 0.254 0.989
Ho 0.526 0.627 0.230
CELL_PARAMETERS angstrom
-2.430 2.560 -6.651
-1.380 -6.830 -2.125
-5.212 -0.098 3.702
! **Density**: 4.94 Mg/m³
! **Calculated volume**: 85 Å³/f.u.
! **Symmetry**: P2_1/c (14)


Version two
! GGA-PBE KHoSO, optimized geometry; values from VASP
&SYSTEM
  ibrav = 0, nat = 4, ntyp = 4
/
ATOMIC_SPECIES
S 32.06 S.upf
O 16.00 O.upf
K 39.10 K.upf
Ho 164.93 Ho.upf
ATOMIC_POSITIONS crystal
S 0.266 0.266 0.266
O 0.726 0.726 0.726
K 0.495 0.495 0.495
Ho 0.012 0.012 0.012
CELL_PARAMETERS angstrom
1.848 1.067 6.880
-1.848 1.067 6.880
0.000 -2.134 6.880
! **Density**: 5.14 Mg/m³
! **Calculated volume**: 81 Å³/f.u.
! **Symmetry**: R3m (160)


Most stable to least stable, the ends of the list are version one and version two.


Version one
! GGA-PBE KHoTeO, optimized geometry; values from VASP
&SYSTEM
  ibrav = 0, nat = 16, ntyp = 4
/
ATOMIC_SPECIES
Te 127.60 Te.upf
K 39.10 K.upf
O 16.00 O.upf
Ho 164.93 Ho.upf
ATOMIC_POSITIONS crystal
Te 0.238 0.080 0.898
Te 0.238 0.420 0.398
Te 0.762 0.920 0.102
Te 0.762 0.580 0.602
K 0.124 0.874 0.361
O 0.427 0.856 0.393
O 0.573 0.144 0.607
O 0.427 0.644 0.893
K 0.876 0.374 0.139
K 0.876 0.126 0.639
Ho 0.488 0.133 0.290
Ho 0.512 0.633 0.210
Ho 0.512 0.867 0.710
O 0.573 0.356 0.107
K 0.124 0.626 0.861
Ho 0.488 0.367 0.790
CELL_PARAMETERS angstrom
8.658 0.000 0.330
0.000 7.405 0.000
-0.875 0.000 6.555
! **Density**: 5.47 Mg/m³
! **Calculated volume**: 106 Å³/f.u.
! **Symmetry**: P2_1/c (14)


Version two
! GGA-PBE KHoTeO, optimized geometry; values from VASP
&SYSTEM
  ibrav = 0, nat = 8, ntyp = 4
/
ATOMIC_SPECIES
Ho 164.93 Ho.upf
O 16.00 O.upf
K 39.10 K.upf
Te 127.60 Te.upf
ATOMIC_POSITIONS crystal
Ho 0.750 0.750 0.913
O 0.750 0.250 0.000
O 0.250 0.750 0.000
Ho 0.250 0.250 0.087
K 0.250 0.750 0.500
K 0.750 0.250 0.500
Te 0.250 0.250 0.737
Te 0.750 0.750 0.263
CELL_PARAMETERS angstrom
4.215 0.000 0.000
0.000 4.215 0.000
0.000 0.000 10.647
! **Density**: 6.10 Mg/m³
! **Calculated volume**: 95 Å³/f.u.
! **Symmetry**: P4/nmm (129)


Most stable to least stable, the ends of the list are version one and version two.


Version one
! GGA-PBE KHoPbSe3, optimized geometry; values from VASP
&SYSTEM
  ibrav = 0, nat = 12, ntyp = 4
/
ATOMIC_SPECIES
K 39.10 K.upf
Se 78.96 Se.upf
Ho 164.93 Ho.upf
Pb 207.20 Pb.upf
ATOMIC_POSITIONS crystal
K 0.854 0.854 0.428
Se 0.330 0.330 0.122
Se 0.672 0.672 0.275
Se 0.670 0.670 0.878
Se 0.000 0.000 0.000
Ho 0.173 0.173 0.079
Pb 0.492 0.492 0.779
Pb 0.508 0.508 0.221
Se 0.328 0.328 0.725
K 0.146 0.146 0.572
Se 0.500 0.500 0.500
Ho 0.827 0.827 0.921
CELL_PARAMETERS angstrom
9.206 -2.119 0.000
9.206 2.119 0.000
-2.326 0.000 9.662
! **Density**: 5.71 Mg/m³
! **Calculated volume**: 188 Å³/f.u.
! **Symmetry**: C2/m (12)


Version two
! GGA-PBE KHoPbSe3, optimized geometry; values from VASP
&SYSTEM
  ibrav = 0, nat = 12, ntyp = 4
/
ATOMIC_SPECIES
Se 78.96 Se.upf
K 39.10 K.upf
Ho 164.93 Ho.upf
Pb 207.20 Pb.upf
ATOMIC_POSITIONS crystal
Se 0.390 0.610 0.998
K 0.343 0.657 0.250
Se 0.000 0.000 0.750
K 0.657 0.343 0.750
Ho 0.000 0.000 0.000
Se 0.390 0.610 0.502
Pb 0.389 0.611 0.750
Se 0.610 0.390 0.498
Pb 0.611 0.389 0.250
Ho 0.000 0.000 0.500
Se 0.610 0.390 0.002
Se 0.000 0.000 0.250
CELL_PARAMETERS angstrom
2.081 -8.834 0.000
2.081 8.834 0.000
0.000 0.000 12.012
! **Density**: 4.87 Mg/m³
! **Calculated volume**: 221 Å³/f.u.
! **Symmetry**: Cmcm (63)


Most stable to least stable, the ends of the list are version one and version two.


Version one
! GGA-PBE KHoTe3Pb, optimized geometry; values from VASP
&SYSTEM
  ibrav = 0, nat = 12, ntyp = 4
/
ATOMIC_SPECIES
Pb 207.20 Pb.upf
K 39.10 K.upf
Te 127.60 Te.upf
Ho 164.93 Ho.upf
ATOMIC_POSITIONS crystal
Pb 0.390 0.610 0.250
K 0.326 0.674 0.750
K 0.674 0.326 0.250
Te 0.006 0.994 0.250
Te 0.381 0.619 0.498
Pb 0.610 0.390 0.750
Ho 0.000 0.000 0.000
Te 0.619 0.381 0.998
Te 0.381 0.619 0.002
Ho 0.000 0.000 0.500
Te 0.994 0.006 0.750
Te 0.619 0.381 0.502
CELL_PARAMETERS angstrom
2.205 -8.971 0.000
2.205 8.971 0.000
0.000 0.000 12.811
! **Density**: 5.20 Mg/m³
! **Calculated volume**: 253 Å³/f.u.
! **Symmetry**: Cmcm (63)


Version two
! GGA-PBE KHoTe3Pb, optimized geometry; values from VASP
&SYSTEM
  ibrav = 0, nat = 12, ntyp = 4
/
ATOMIC_SPECIES
Te 127.60 Te.upf
Pb 207.20 Pb.upf
Ho 164.93 Ho.upf
K 39.10 K.upf
ATOMIC_POSITIONS crystal
Te 0.500 0.500 0.500
Pb 0.510 0.510 0.219
Ho 0.173 0.173 0.078
Te 0.331 0.331 0.128
Te 0.328 0.328 0.721
Te 0.669 0.669 0.872
Te 0.672 0.672 0.279
Pb 0.490 0.490 0.781
Ho 0.827 0.827 0.922
Te 0.000 0.000 0.000
K 0.144 0.144 0.571
K 0.856 0.856 0.429
CELL_PARAMETERS angstrom
9.826 -2.259 0.000
9.826 2.259 0.000
-2.420 0.000 10.272
! **Density**: 5.78 Mg/m³
! **Calculated volume**: 228 Å³/f.u.
! **Symmetry**: C2/m (12)


Most stable to least stable, the ends of the list are version two and version one.


Version one
! GGA-PBE KTbHoTe3, optimized geometry; values from VASP
&SYSTEM
  ibrav = 0, nat = 12, ntyp = 4
/
ATOMIC_SPECIES
Ho 164.93 Ho.upf
Te 127.60 Te.upf
Tb 158.93 Tb.upf
K 39.10 K.upf
ATOMIC_POSITIONS crystal
Ho 0.831 0.831 0.426
Te 0.333 0.333 0.641
Ho 0.169 0.169 0.574
Te 0.666 0.666 0.784
Te 0.334 0.334 0.216
Tb 0.500 0.500 0.710
K 0.852 0.852 0.936
Tb 0.500 0.500 0.290
Te 0.500 0.500 0.000
Te 0.000 0.000 0.500
Te 0.667 0.667 0.359
K 0.148 0.148 0.064
CELL_PARAMETERS angstrom
9.552 -2.200 0.000
9.552 2.200 0.000
-2.353 0.000 9.912
! **Density**: 5.94 Mg/m³
! **Calculated volume**: 208 Å³/f.u.
! **Symmetry**: C2/m (12)


Version two
! GGA-PBE KTbHoTe3, optimized geometry; values from VASP
&SYSTEM
  ibrav = 0, nat = 12, ntyp = 4
/
ATOMIC_SPECIES
Te 127.60 Te.upf
Tb 158.93 Tb.upf
K 39.10 K.upf
Ho 164.93 Ho.upf
ATOMIC_POSITIONS crystal
Te 0.129 0.871 0.960
Te 0.424 0.576 0.750
Te 0.871 0.129 0.040
Tb 0.967 0.033 0.250
Tb 0.033 0.967 0.750
K 0.246 0.754 0.250
K 0.754 0.246 0.750
Ho 0.500 0.500 0.000
Ho 0.500 0.500 0.500
Te 0.871 0.129 0.460
Te 0.129 0.871 0.540
Te 0.576 0.424 0.250
CELL_PARAMETERS angstrom
6.115 -0.368 -5.875
-8.238 1.060 1.745
1.721 11.616 1.064
! **Density**: 5.48 Mg/m³
! **Calculated volume**: 226 Å³/f.u.
! **Symmetry**: Cmcm (63)


Version three
! GGA-PBE KTbHoTe3, optimized geometry; values from VASP
&SYSTEM
  ibrav = 0, nat = 12, ntyp = 4
/
ATOMIC_SPECIES
K 39.10 K.upf
Ho 164.93 Ho.upf
Te 127.60 Te.upf
Tb 158.93 Tb.upf
ATOMIC_POSITIONS crystal
K 0.746 0.254 0.250
Ho 0.535 0.465 0.750
Te 0.370 0.630 0.045
Tb 0.000 0.000 0.500
Te 0.630 0.370 0.955
Ho 0.465 0.535 0.250
K 0.254 0.746 0.750
Te 0.926 0.074 0.750
Te 0.074 0.926 0.250
Tb 0.000 0.000 0.000
Te 0.630 0.370 0.545
Te 0.370 0.630 0.455
CELL_PARAMETERS angstrom
5.936 2.211 5.652
-6.196 2.443 -5.265
-7.911 -1.171 8.766
! **Density**: 5.47 Mg/m³
! **Calculated volume**: 226 Å³/f.u.
! **Symmetry**: Cmcm (63)


Most stable to least stable, the ends of the list are version one and version two.